Record 1
This record from Alexandria via LeMat-Bulk describes Tb4Nd3Y5 after structural relaxation. The functional is PBE-GGA.

a = 6.2220 Å, b = 7.1889 Å, c = 8.8044 Å
α = 90.02°, β = 90.12°, γ = 90.20°
With the nearest neighbours (Å) after each atom.
Sites, in units of the cell vectors:
Tb (0.1663, 0.9999, 0.1660)  4 Tb 3.57-3.60, 3 Nd 3.58-3.59, 5 Y 3.59-3.60
Tb (0.3323, 0.2483, 0.8331)  4 Nd 3.57-3.62, 3 Tb 3.57-3.60, 5 Y 3.58-3.61
Tb (0.6677, 0.7517, 0.1669)  4 Nd 3.57-3.62, 3 Tb 3.57-3.60, 5 Y 3.58-3.61
Tb (0.8337, 0.0001, 0.8340)  4 Tb 3.57-3.60, 3 Nd 3.58-3.59, 5 Y 3.59-3.60
Nd (0.3340, 0.7515, 0.8336)  6 Tb 3.57-3.62, 5 Y 3.59-3.60, 1 Nd 3.60
Nd (0.5000, 0.5000, 0.5000)  8 Y 3.58-3.61, 2 Tb 3.60, 2 Nd 3.60
Nd (0.6660, 0.2485, 0.1664)  6 Tb 3.57-3.62, 5 Y 3.59-3.60, 1 Nd 3.60
Y (0.0011, 0.2491, 0.5002)  3 Tb 3.58-3.60, 6 Y 3.58-3.61, 3 Nd 3.58-3.61
Y (0.1665, 0.5004, 0.1668)  4 Nd 3.59-3.60, 3 Y 3.59-3.60, 5 Tb 3.59-3.61
Y (0.5000, 0.0000, 0.5000)  4 Y 3.59, 4 Nd 3.59, 4 Tb 3.59-3.60
Y (0.8335, 0.4996, 0.8332)  4 Nd 3.59-3.60, 3 Y 3.59-3.60, 5 Tb 3.59-3.61
Y (0.9989, 0.7509, 0.4998)  3 Tb 3.58-3.60, 6 Y 3.58-3.61, 3 Nd 3.58-3.61

Computed properties:
symmetry: P-1
formation energy from the elements: 16 meV/atom
relative energy among the computed polymorphs: 0 meV/atom
size of the total moment: 0.0000 μB per atom

***

Record 2
This record from Alexandria via LeMat-Bulk describes TbNd2Y after structural relaxation. The functional is PBE-GGA.

a = 5.1424 Å, b = 5.1424 Å, c = 5.0862 Å
α = 90.00°, β = 90.00°, γ = 90.00°
With the nearest neighbours (Å) after each atom.
Sites, in units of the cell vectors:
Tb (0.0000, 0.0000, 0.0000)  8 Nd 3.62, 4 Y 3.64
Nd (0.0000, 0.5000, 0.5000)  4 Tb 3.62, 4 Y 3.62, 4 Nd 3.64
Nd (0.5000, 0.0000, 0.5000)  4 Tb 3.62, 4 Y 3.62, 4 Nd 3.64
Y (0.5000, 0.5000, 0.0000)  8 Nd 3.62, 4 Tb 3.64

Computed properties:
symmetry: P4/mmm
formation energy from the elements: 18 meV/atom
relative energy among the computed polymorphs: 5 meV/atom
size of the total moment: 0.0000 μB per atom

***

Record 3
This record from Alexandria via LeMat-Bulk describes Tb9Nd4Y11 after structural relaxation. The functional is PBE-GGA.

a = 15.1595 Å, b = 15.1595 Å, c = 3.7292 Å
α = 90.00°, β = 90.00°, γ = 112.72°
With the nearest neighbours (Å) after each atom.
Sites, in units of the cell vectors:
Tb (0.0000, 0.0000, 0.0000)  4 Nd 3.62, 2 Tb 3.73, 8 Y 3.90-4.03
Tb (0.1343, 0.6624, 0.0000)  3 Tb 3.41-3.73, 8 Y 3.50-3.71, 1 Nd 3.54
Tb (0.2877, 0.4334, 0.0000)  8 Y 3.51-3.70, 1 Nd 3.54, 3 Tb 3.68-3.73
Tb (0.3376, 0.8657, 0.0000)  3 Tb 3.41-3.73, 8 Y 3.50-3.71, 1 Nd 3.54
Tb (0.4334, 0.2877, 0.0000)  8 Y 3.51-3.70, 1 Nd 3.54, 3 Tb 3.68-3.73
Tb (0.5666, 0.7123, 0.0000)  8 Y 3.51-3.70, 1 Nd 3.54, 3 Tb 3.68-3.73
Tb (0.6624, 0.1343, 0.0000)  3 Tb 3.41-3.73, 8 Y 3.50-3.71, 1 Nd 3.54
Tb (0.7123, 0.5666, 0.0000)  8 Y 3.51-3.70, 1 Nd 3.54, 3 Tb 3.68-3.73
Tb (0.8657, 0.3376, 0.0000)  3 Tb 3.41-3.73, 8 Y 3.50-3.71, 1 Nd 3.54
Nd (0.0537, 0.2542, 0.0000)  6 Y 3.30-3.42, 3 Tb 3.54-3.62
Nd (0.2542, 0.0537, 0.0000)  6 Y 3.30-3.42, 3 Tb 3.54-3.62
Nd (0.7458, 0.9463, 0.0000)  6 Y 3.30-3.42, 3 Tb 3.54-3.62
Nd (0.9463, 0.7458, 0.0000)  6 Y 3.30-3.42, 3 Tb 3.54-3.62
Y (0.0928, 0.4548, 0.5000)  2 Nd 3.42, 6 Tb 3.50-3.71, 3 Y 3.57-3.73
Y (0.1358, 0.8642, 0.5000)  4 Nd 3.31, 4 Tb 3.57
Y (0.2128, 0.2128, 0.5000)  4 Nd 3.30, 4 Tb 3.61
Y (0.3410, 0.6590, 0.5000)  8 Tb 3.66-3.70, 5 Y 3.73-4.01
Y (0.4548, 0.0928, 0.5000)  2 Nd 3.42, 6 Tb 3.50-3.71, 3 Y 3.57-3.73
Y (0.5000, 0.5000, 0.5000)  8 Tb 3.51, 2 Y 3.73
Y (0.5452, 0.9072, 0.5000)  2 Nd 3.42, 6 Tb 3.50-3.71, 3 Y 3.57-3.73
Y (0.6590, 0.3410, 0.5000)  8 Tb 3.66-3.70, 5 Y 3.73-4.01
Y (0.7872, 0.7872, 0.5000)  4 Nd 3.30, 4 Tb 3.61
Y (0.8642, 0.1358, 0.5000)  4 Nd 3.31, 4 Tb 3.57
Y (0.9072, 0.5452, 0.5000)  2 Nd 3.42, 6 Tb 3.50-3.71, 3 Y 3.57-3.73

Computed properties:
symmetry: Cmmm
formation energy from the elements: 56 meV/atom
size of the total moment: 0.0028 μB per atom

***

Record 4
This record from Alexandria via LeMat-Bulk describes TbNd3Y6 after structural relaxation. The functional is PBE-GGA.

a = 10.9484 Å, b = 10.9484 Å, c = 6.4461 Å
α = 90.00°, β = 90.00°, γ = 119.82°
With the nearest neighbours (Å) after each atom.
Sites, in units of the cell vectors:
Tb (0.1925, 0.8075, 0.5000)  2 Nd 3.23, 6 Y 3.37-3.55
Tb (0.8075, 0.1925, 0.0000)  2 Nd 3.23, 6 Y 3.37-3.55
Nd (0.0644, 0.2930, 0.6757)  1 Tb 3.23, 6 Y 3.33-3.57, 1 Nd 3.60
Nd (0.2930, 0.0644, 0.1757)  1 Tb 3.23, 6 Y 3.33-3.57, 1 Nd 3.60
Nd (0.3866, 0.6134, 0.5680)  7 Y 3.48-3.85, 2 Nd 3.60, 1 Tb 3.70
Nd (0.6134, 0.3866, 0.0680)  7 Y 3.48-3.85, 2 Nd 3.60, 1 Tb 3.70
Nd (0.7070, 0.9356, 0.6757)  1 Tb 3.23, 6 Y 3.33-3.57, 1 Nd 3.60
Nd (0.9356, 0.7070, 0.1757)  1 Tb 3.23, 6 Y 3.33-3.57, 1 Nd 3.60
Y (0.0391, 0.9609, 0.7768)  1 Tb 3.41, 4 Nd 3.53-3.57, 2 Y 3.55
Y (0.0550, 0.4718, 0.2647)  5 Y 3.22-3.60, 2 Nd 3.33-3.47, 2 Tb 3.37-3.55
Y (0.2671, 0.7329, 0.9784)  4 Y 3.22-3.39, 1 Tb 3.39, 1 Nd 3.48
Y (0.2881, 0.3764, 0.0853)  3 Nd 3.40-3.51, 4 Y 3.40-3.68
Y (0.3764, 0.2881, 0.5853)  3 Nd 3.40-3.51, 4 Y 3.40-3.68
Y (0.4718, 0.0550, 0.7647)  5 Y 3.22-3.60, 2 Nd 3.33-3.47, 2 Tb 3.37-3.55
Y (0.5282, 0.9450, 0.2647)  5 Y 3.22-3.60, 2 Nd 3.33-3.47, 2 Tb 3.37-3.55
Y (0.6236, 0.7119, 0.0853)  3 Nd 3.40-3.51, 4 Y 3.40-3.68
Y (0.7119, 0.6236, 0.5853)  3 Nd 3.40-3.51, 4 Y 3.40-3.68
Y (0.7329, 0.2671, 0.4784)  4 Y 3.22-3.39, 1 Tb 3.39, 1 Nd 3.48
Y (0.9450, 0.5282, 0.7647)  5 Y 3.22-3.60, 2 Nd 3.33-3.47, 2 Tb 3.37-3.55
Y (0.9609, 0.0391, 0.2768)  1 Tb 3.41, 4 Nd 3.53-3.57, 2 Y 3.55

Computed properties:
symmetry: Cmc2_1
formation energy from the elements: 141 meV/atom
relative energy among the computed polymorphs: 0 meV/atom
size of the total moment: 0.0000 μB per atom

***

Q: formation energy from the elements of number 3 (Tb9Nd4Y11)?
A: 56 meV/atom